No. 1
A relaxed BeMo2Pb crystal. Source: Alexandria, functional PBE-GGA.

Unit cell a=5.0557 b=5.0557 c=5.0557 alpha=141.90 beta=124.99 gamma=68.87
Sites, in units of the cell vectors:
Pb (0.7500, 0.2500, 0.5000)
Be (0.2500, 0.7500, 0.5000)
Mo (0.0423, 0.0423, 0.0000)
Mo (0.4577, 0.4577, 0.0000)

## Properties
Density of states at the Fermi level in states/eV/f.u.: 2.475
Total magnetization in μB per formula unit: 0.00
ΔE_f in eV/atom: 0.5401
Relative energy among the computed polymorphs in meV/atom: 238


No. 2
A relaxed BeMo2Pb crystal. Source: Alexandria, functional PBE-GGA.

Unit cell a=3.1316 b=3.1316 c=6.9233 alpha=90.00 beta=90.00 gamma=90.00
Sites, in units of the cell vectors:
Pb (0.5000, 0.5000, 0.2500)
Be (0.5000, 0.5000, 0.7500)
Mo (0.0000, 0.0000, 0.9196)
Mo (0.0000, 0.0000, 0.5804)

## Properties
Density of states at the Fermi level in states/eV/f.u.: 3.314
Total magnetization in μB per formula unit: 0.00
ΔE_f in eV/atom: 0.4655
Relative energy among the computed polymorphs in meV/atom: 163


No. 3
A relaxed BeMoPb3 crystal. Source: Alexandria, functional PBE-GGA.

Unit cell a=5.4066 b=5.4066 c=5.4066 alpha=90.00 beta=90.00 gamma=90.00
Sites, in units of the cell vectors:
Pb (0.0000, 0.5000, 0.0000)
Pb (0.0000, 0.0000, 0.5000)
Pb (0.5000, 0.0000, 0.0000)
Be (0.5000, 0.5000, 0.5000)
Mo (0.0000, 0.0000, 0.0000)

## Properties
Density of states at the Fermi level in states/eV/f.u.: 0.750
Total magnetization in μB per formula unit: 0.00
ΔE_f in eV/atom: 0.9524
Relative energy among the computed polymorphs in meV/atom: 0